Below is a relaxed structure of VPH5NO6, with properties calculated at the PBE with a Hubbard U level.

Values from the calculation:
Magnetic moment, μB per formula unit: 0.00
Total DFT energy (no corrections), hartree per atom: -0.2289

a b c (Å): 6.8691 9.1530 9.8595
angles (deg): 90.00 90.00 90.00
Last column: nearest neighbours and their distance in Å.
Fractional coordinates of all 56 atoms:
V: 0.0183 0.0028 0.0000  1 O 1.62
V: 0.4817 0.0028 0.5000  1 O 1.62
V: 0.5183 0.9972 0.0000  1 O 1.62
V: 0.9817 0.9972 0.5000  1 O 1.62
P: 0.2254 0.3003 0.4407  4 O 1.51-1.57
P: 0.2746 0.3003 0.9407  4 O 1.51-1.57
P: 0.7254 0.6997 0.4407  4 O 1.51-1.57
P: 0.7746 0.6997 0.9407  4 O 1.51-1.57
H: 0.1070 0.7317 0.3330  1 N 1.04
H: 0.1494 0.7288 0.8307  1 N 1.04
H: 0.2246 0.5712 0.2977  1 N 1.06
H: 0.2255 0.7116 0.1841  1 N 1.02
H: 0.2461 0.3829 0.1554  1 O 1.02
H: 0.2539 0.3829 0.6554  1 O 1.02
H: 0.2745 0.7116 0.6841  1 N 1.02
H: 0.2754 0.5712 0.7977  1 N 1.06
H: 0.3506 0.7288 0.3307  1 N 1.04
H: 0.3930 0.7317 0.8330  1 N 1.04
H: 0.6070 0.2683 0.3330  1 N 1.04
H: 0.6494 0.2712 0.8307  1 N 1.04
H: 0.7246 0.4288 0.2977  1 N 1.06
H: 0.7255 0.2884 0.1841  1 N 1.02
H: 0.7461 0.6171 0.1554  1 O 1.02
H: 0.7539 0.6171 0.6554  1 O 1.02
H: 0.7745 0.2884 0.6841  1 N 1.02
H: 0.7754 0.4288 0.7977  1 N 1.06
H: 0.8506 0.2712 0.3307  1 N 1.04
H: 0.8930 0.2683 0.8330  1 N 1.04
N: 0.2273 0.6857 0.2851  4 H 1.02-1.06
N: 0.2727 0.6857 0.7851  4 H 1.02-1.06
N: 0.7273 0.3143 0.2851  4 H 1.02-1.06
N: 0.7727 0.3143 0.7851  4 H 1.02-1.06
O: 0.0188 0.0081 0.1644  1 V 1.62
O: 0.0401 0.2037 0.4606  1 P 1.56
O: 0.0867 0.2044 0.9471  1 P 1.56
O: 0.2134 0.3861 0.3097  1 P 1.51, 1 H 1.54
O: 0.2294 0.9546 0.4489  2 V 1.82-1.86
O: 0.2329 0.4166 0.5579  1 H 1.02
O: 0.2671 0.4166 0.0579  1 H 1.02
O: 0.2706 0.9546 0.9489  2 V 1.82-1.86
O: 0.2866 0.3861 0.8097  1 P 1.51, 1 H 1.54
O: 0.4133 0.2044 0.4471  1 P 1.56
O: 0.4599 0.2037 0.9606  1 P 1.56
O: 0.4812 0.0081 0.6644  1 V 1.62
O: 0.5188 0.9919 0.1644  1 V 1.62
O: 0.5401 0.7963 0.4606  1 P 1.56
O: 0.5867 0.7956 0.9471  1 P 1.56
O: 0.7134 0.6139 0.3097  1 P 1.51, 1 H 1.54
O: 0.7294 0.0454 0.4489  2 V 1.82-1.86
O: 0.7329 0.5834 0.5579  1 H 1.02
O: 0.7671 0.5834 0.0579  1 H 1.02
O: 0.7706 0.0454 0.9489  2 V 1.82-1.86
O: 0.7866 0.6139 0.8097  1 P 1.51, 1 H 1.54
O: 0.9133 0.7956 0.4471  1 P 1.56
O: 0.9599 0.7963 0.9606  1 P 1.56
O: 0.9812 0.9919 0.6644  1 V 1.62